# V2O3F2 | the Alexandria database | PBE+U | optimized geometry
# * magnetic moment: 2.00 μB/f.u.
# * DFT total energy: -7.0050 eV per atom
data_V2O3F2
_symmetry_space_group_name_H-M 'P -1'
_symmetry_Int_Tables_number 2
_cell_length_a 5.2427
_cell_length_b 5.8062
_cell_length_c 6.6881
_cell_angle_alpha 103.31
_cell_angle_beta 107.21
_cell_angle_gamma 100.92
loop_
_symmetry_equiv_pos_as_xyz
'x,y,z'
'-x,-y,-z'
loop_
_atom_site_label
_atom_site_fract_x
_atom_site_fract_y
_atom_site_fract_z
V1 0.0762 0.2103 0.1774
V2 0.2951 0.3548 0.7759
O1 0.0385 0.4940 0.7191
O2 0.1799 0.9010 0.0799
O3 0.3592 0.3964 0.0900
F1 0.1784 0.9987 0.7082
F2 0.3395 0.2752 0.4841